w) DFT (PBE-GGA) results for a relaxed Mn2CdOs2 crystal.

symmetry: No. 127
N(E_F): 0.7749 states/eV per atom

a b c (Å): 7.4075 7.4075 2.6772
angles (deg): 90.00 90.00 90.00
With the nearest neighbours (Å) after each atom.
Positions (direct):
Mn 0.1637 0.3363 0.0000  6 Os 2.55-2.57, 2 Mn 2.68
Mn 0.3363 0.8363 0.0000  6 Os 2.55-2.57, 2 Mn 2.68
Mn 0.6637 0.1637 0.0000  6 Os 2.55-2.57, 2 Mn 2.68
Mn 0.8363 0.6637 0.0000  6 Os 2.55-2.57, 2 Mn 2.68
Cd 0.0000 0.0000 0.5000  2 Cd 2.68, 4 Os 2.92
Cd 0.5000 0.5000 0.5000  2 Cd 2.68, 4 Os 2.92
Os 0.1263 0.6263 0.5000  6 Mn 2.55-2.57, 3 Os 2.65-2.68
Os 0.3737 0.1263 0.5000  6 Mn 2.55-2.57, 3 Os 2.65-2.68
Os 0.6263 0.8737 0.5000  6 Mn 2.55-2.57, 3 Os 2.65-2.68
Os 0.8737 0.3737 0.5000  6 Mn 2.55-2.57, 3 Os 2.65-2.68

=====

x) DFT (PBE-GGA) results for a relaxed Mn2CdOs2 crystal.

symmetry: No. 139
N(E_F): 0.8127 states/eV per atom

a b c (Å): 5.8983 5.8983 5.8983
angles (deg): 141.36 141.36 55.79
With the nearest neighbours (Å) after each atom.
Positions (direct):
Mn 0.2500 0.7500 0.5000  4 Os 2.38
Mn 0.7500 0.2500 0.5000  4 Os 2.38
Cd 0.0000 0.0000 0.0000  8 Os 3.02, 8 Mn 3.26
Os 0.3813 0.3813 0.0000  4 Mn 2.38, 1 Os 2.48
Os 0.6187 0.6187 0.0000  4 Mn 2.38, 1 Os 2.48

=====

y) DFT (PBE-GGA) results for a relaxed Mn2CdOs2 crystal.

symmetry: No. 127
N(E_F): 0.7888 states/eV per atom

a b c (Å): 7.3121 7.3121 2.6894
angles (deg): 90.00 90.00 90.00
With the nearest neighbours (Å) after each atom.
Positions (direct):
Mn 0.1217 0.3783 0.0000  6 Os 2.49-2.61, 3 Mn 2.52-2.69
Mn 0.3783 0.8783 0.0000  6 Os 2.49-2.61, 3 Mn 2.52-2.69
Mn 0.6217 0.1217 0.0000  6 Os 2.49-2.61, 3 Mn 2.52-2.69
Mn 0.8783 0.6217 0.0000  6 Os 2.49-2.61, 3 Mn 2.52-2.69
Cd 0.0000 0.0000 0.0000  2 Cd 2.69, 4 Mn 2.91
Cd 0.5000 0.5000 0.0000  2 Cd 2.69, 4 Mn 2.91
Os 0.1620 0.6620 0.5000  6 Mn 2.49-2.61, 2 Os 2.69
Os 0.3380 0.1620 0.5000  6 Mn 2.49-2.61, 2 Os 2.69
Os 0.6620 0.8380 0.5000  6 Mn 2.49-2.61, 2 Os 2.69
Os 0.8380 0.3380 0.5000  6 Mn 2.49-2.61, 2 Os 2.69

=====

The relative energies come out as w) 0; x) 177; y) 15, with values in meV/atom.